Entry from the Alexandria database: crystalline Rb2BaGaSb2 at its relaxed geometry (PBE-GGA).

```
12
Lattice="8.128 0.000 0.000 0.000 7.727 0.000 -4.064 -3.864 8.251" Properties=species:S:1:pos:R:3 pbc="T T T"
Rb 2.465 0.000 2.998
Rb 1.599 3.864 5.252
Rb -1.599 0.000 5.252
Rb 5.663 3.864 2.998
Ba 0.000 5.795 0.000
Ba 0.000 1.932 0.000
Ga 4.064 5.795 0.000
Ga 4.064 1.932 0.000
Sb 5.729 0.000 1.540
Sb 2.399 3.864 1.540
Sb 1.665 0.000 6.711
Sb -1.665 3.864 6.711
```

space-group type	Ibam
electronic total energy	-0.10948	hartree per atom
uncorrected formation energy	-0.4575	eV/atom
calculated volume	43.18	A^3/atom